No. 1
Material: ScCrRe2
Method: DFT, GGA-PBE
State: relaxed

Geometry as POSCAR:
```
ScCrRe2
1.0
2.7949 0.0000 0.0000
0.0000 4.2716 0.0000
0.0000 0.0000 5.2442
Sc Cr Re
1 1 2
Direct
0.0000 0.0000 0.0000
0.5000 0.5000 0.2255
0.0000 0.0000 0.4981
0.5000 0.5000 0.7072
```

- Excess energy over the best structure of this formula in the dataset: 0.316 eV per atom
- Formation energy from the elements: 1.2 eV/f.u.
- Electronic total energy: -9.917 eV per atom
- Total magnetic moment: 1.29 μB/f.u.
- Volume: 15.65 A^3/atom

No. 2
Material: ScCr2Re
Method: DFT, GGA-PBE
State: relaxed

Geometry as POSCAR:
```
ScCr2Re
1.0
2.6118 0.0000 0.0000
0.0000 4.4574 0.0000
0.0000 0.0000 5.0377
Sc Cr Re
1 2 1
Direct
0.0000 0.0000 0.0000
0.0000 0.0000 0.4952
0.5000 0.5000 0.2328
0.5000 0.5000 0.7221
```

- Excess energy over the best structure of this formula in the dataset: 0.307 eV per atom
- Formation energy from the elements: 1.6 eV/f.u.
- Electronic total energy: -9.098 eV per atom
- Total magnetic moment: 0.07 μB/f.u.
- Volume: 14.66 A^3/atom

No. 3
Material: ScCr2Re
Method: DFT, GGA-PBE
State: relaxed

Geometry as POSCAR:
```
ScCr2Re
1.0
2.7698 0.0000 0.0000
0.0000 4.1954 0.0000
-1.0577 0.0000 5.1242
Sc Cr Re
1 2 1
Direct
0.0000 0.0000 0.0000
0.2354 0.5000 0.7067
0.7646 0.5000 0.2933
0.5000 0.0000 0.5000
```

- Excess energy over the best structure of this formula in the dataset: 0.088 eV per atom
- Formation energy from the elements: 0.8 eV/f.u.
- Electronic total energy: -9.316 eV per atom
- Total magnetic moment: 0.00 μB/f.u.
- Volume: 14.89 A^3/atom

No. 4
Material: ScCr2Re
Method: DFT, GGA-PBE
State: relaxed

Geometry as POSCAR:
```
ScCr2Re
1.0
1.5348 -2.2156 0.0000
1.5348 2.2156 0.0000
0.0000 0.0000 8.5224
Sc Cr Re
1 2 1
Direct
0.0000 0.0000 0.0000
0.0000 0.0000 0.5223
0.5000 0.5000 0.7294
0.5000 0.5000 0.2826
```

- Excess energy over the best structure of this formula in the dataset: 0.094 eV per atom
- Formation energy from the elements: 0.8 eV/f.u.
- Electronic total energy: -9.310 eV per atom
- Total magnetic moment: 0.00 μB/f.u.
- Volume: 14.49 A^3/atom

No. 5
Material: ScCr2Re
Method: DFT, GGA-PBE
State: relaxed

Geometry as POSCAR:
```
ScCr2Re
1.0
0.0000 3.0916 3.0916
3.0916 0.0000 3.0916
3.0916 3.0916 0.0000
Sc Cr Re
1 2 1
Direct
0.0000 0.0000 0.0000
0.5000 0.5000 0.5000
0.7500 0.7500 0.7500
0.2500 0.2500 0.2500
```

- Excess energy over the best structure of this formula in the dataset: 0.070 eV per atom
- Formation energy from the elements: 0.7 eV/f.u.
- Electronic total energy: -9.335 eV per atom
- Total magnetic moment: 1.58 μB/f.u.
- Volume: 14.77 A^3/atom

No. 6
Material: ScCrRe2
Method: DFT, GGA-PBE
State: relaxed

Geometry as POSCAR:
```
ScCrRe2
1.0
-1.5366 2.2414 4.4047
1.5366 -2.2414 4.4047
1.5366 2.2414 -4.4047
Sc Cr Re
1 1 2
Direct
0.0000 0.0000 0.0000
0.5000 0.5000 0.0000
0.2651 0.7651 0.5000
0.7349 0.2349 0.5000
```

- Excess energy over the best structure of this formula in the dataset: 0.019 eV per atom
- Formation energy from the elements: 0.0 eV/f.u.
- Electronic total energy: -10.214 eV per atom
- Total magnetic moment: 0.00 μB/f.u.
- Volume: 15.17 A^3/atom

No. 7
Material: ScCr2Re
Method: DFT, GGA-PBE
State: relaxed

Geometry as POSCAR:
```
ScCr2Re
1.0
3.0338 0.0000 0.0000
0.0000 3.0338 0.0000
0.0000 0.0000 6.4309
Sc Cr Re
1 2 1
Direct
0.0000 0.0000 0.0000
0.5000 0.5000 0.2802
0.5000 0.5000 0.7198
0.0000 0.0000 0.5000
```

- Excess energy over the best structure of this formula in the dataset: 0.022 eV per atom
- Formation energy from the elements: 0.5 eV/f.u.
- Electronic total energy: -9.382 eV per atom
- Total magnetic moment: 0.87 μB/f.u.
- Volume: 14.80 A^3/atom

No. 8
Material: ScCrRe3
Method: DFT, GGA-PBE
State: relaxed

Geometry as POSCAR:
```
ScCrRe3
1.0
4.4824 0.0000 0.0000
0.0000 4.4824 0.0000
0.0000 0.0000 4.4824
Sc Cr Re
1 1 3
Direct
0.0000 0.0000 0.0000
0.5000 0.5000 0.5000
0.0000 0.5000 0.5000
0.5000 0.0000 0.5000
0.5000 0.5000 0.0000
```

- Excess energy over the best structure of this formula in the dataset: 0.000 eV per atom
- Formation energy from the elements: 5.1 eV/f.u.
- Electronic total energy: -9.643 eV per atom
- Total magnetic moment: 0.00 μB/f.u.
- Volume: 18.01 A^3/atom

No. 9
Material: ScCrRe
Method: DFT, GGA-PBE
State: relaxed

Geometry as POSCAR:
```
ScCrRe
1.0
-1.3242 2.2849 3.8845
1.3242 -2.2849 3.8845
1.3242 2.2849 -3.8845
Sc Cr Re
1 1 1
Direct
0.0000 0.0000 0.0000
0.6597 0.6597 0.0000
0.3421 0.3421 0.0000
```

- Excess energy over the best structure of this formula in the dataset: 0.529 eV per atom
- Formation energy from the elements: 1.1 eV/f.u.
- Electronic total energy: -9.117 eV per atom
- Total magnetic moment: 0.02 μB/f.u.
- Volume: 15.67 A^3/atom

No. 10
Material: ScCrRe2
Method: DFT, GGA-PBE
State: relaxed

Geometry as POSCAR:
```
ScCrRe2
1.0
1.4114 0.8149 8.9785
-1.4114 0.8149 8.9785
0.0000 -1.6298 8.9785
Sc Cr Re
1 1 2
Direct
0.0000 0.0000 0.0000
0.7504 0.7504 0.7504
0.2411 0.2411 0.2411
0.4936 0.4936 0.4936
```

- Excess energy over the best structure of this formula in the dataset: 0.316 eV per atom
- Formation energy from the elements: 1.2 eV/f.u.
- Electronic total energy: -9.917 eV per atom
- Total magnetic moment: 0.00 μB/f.u.
- Volume: 15.49 A^3/atom

No. 11
Material: ScCrRe2
Method: DFT, GGA-PBE
State: relaxed

Geometry as POSCAR:
```
ScCrRe2
1.0
3.7738 0.0000 0.0000
0.0000 3.7738 0.0000
0.0000 0.0000 4.4824
Sc Cr Re
1 1 2
Direct
0.0000 0.0000 0.0000
0.5000 0.5000 0.0000
0.0000 0.5000 0.5000
0.5000 0.0000 0.5000
```

- Excess energy over the best structure of this formula in the dataset: 0.318 eV per atom
- Formation energy from the elements: 1.2 eV/f.u.
- Electronic total energy: -9.915 eV per atom
- Total magnetic moment: 2.96 μB/f.u.
- Volume: 15.96 A^3/atom

No. 12
Material: ScCrRe2
Method: DFT, GGA-PBE
State: relaxed

Geometry as POSCAR:
```
ScCrRe2
1.0
3.0613 0.0000 0.0000
0.0000 3.0613 0.0000
0.0000 0.0000 6.5211
Sc Cr Re
1 1 2
Direct
0.0000 0.0000 0.0000
0.0000 0.0000 0.5000
0.5000 0.5000 0.2817
0.5000 0.5000 0.7183
```

- Excess energy over the best structure of this formula in the dataset: 0.029 eV per atom
- Formation energy from the elements: 0.0 eV/f.u.
- Electronic total energy: -10.204 eV per atom
- Total magnetic moment: 0.00 μB/f.u.
- Volume: 15.28 A^3/atom

No. 13
Material: ScCrRe
Method: DFT, GGA-PBE
State: relaxed

Geometry as POSCAR:
```
ScCrRe
1.0
-2.5494 2.6138 3.6299
2.5494 -2.6138 3.6299
2.5494 2.6138 -3.6299
Sc Cr Re
2 2 2
Direct
0.3747 0.1247 0.2500
0.6253 0.8753 0.7500
0.0000 0.0000 0.5000
0.0000 0.5000 0.0000
0.0000 0.5000 0.5000
0.5000 0.5000 0.0000
```

- Excess energy over the best structure of this formula in the dataset: 0.000 eV per atom
- Formation energy from the elements: -0.5 eV/f.u.
- Electronic total energy: -9.646 eV per atom
- Total magnetic moment: 0.00 μB/f.u.
- Volume: 16.13 A^3/atom

No. 14
Material: ScCrRe2
Method: DFT, GGA-PBE
State: relaxed

Geometry as POSCAR:
```
ScCrRe2
1.0
3.0940 0.0000 0.0000
0.0000 4.4074 0.0000
0.0000 0.0000 4.4541
Sc Cr Re
1 1 2
Direct
0.0000 0.0000 0.0000
0.5000 0.0000 0.5000
0.0000 0.5000 0.5000
0.5000 0.5000 0.0000
```

- Excess energy over the best structure of this formula in the dataset: 0.078 eV per atom
- Formation energy from the elements: 0.2 eV/f.u.
- Electronic total energy: -10.155 eV per atom
- Total magnetic moment: 0.81 μB/f.u.
- Volume: 15.18 A^3/atom

No. 15
Material: ScCr2Re
Method: DFT, GGA-PBE
State: relaxed

Geometry as POSCAR:
```
ScCr2Re
1.0
-3.4820 3.4820 2.7110
3.4820 -3.4820 2.7110
3.4820 3.4820 -2.7110
Sc Cr Re
2 4 2
Direct
0.0000 0.0000 0.0000
0.7500 0.2500 0.5000
0.1655 0.6250 0.0405
0.3750 0.4155 0.5405
0.5845 0.1250 0.9595
0.8750 0.8345 0.4595
0.2500 0.7500 0.5000
0.5000 0.5000 0.0000
```

- Excess energy over the best structure of this formula in the dataset: 0.568 eV per atom
- Formation energy from the elements: 2.7 eV/f.u.
- Electronic total energy: -8.837 eV per atom
- Total magnetic moment: 1.92 μB/f.u.
- Volume: 16.44 A^3/atom

No. 16
Material: ScCr2Re
Method: DFT, GGA-PBE
State: relaxed

Geometry as POSCAR:
```
ScCr2Re
1.0
2.9971 0.0000 0.0000
0.0000 2.9971 0.0000
0.0000 0.0000 6.5609
Sc Cr Re
1 2 1
Direct
0.0000 0.0000 0.0000
0.0000 0.0000 0.4839
0.5000 0.5000 0.2825
0.5000 0.5000 0.7048
```

- Excess energy over the best structure of this formula in the dataset: 0.021 eV per atom
- Formation energy from the elements: 0.5 eV/f.u.
- Electronic total energy: -9.384 eV per atom
- Total magnetic moment: 0.75 μB/f.u.
- Volume: 14.73 A^3/atom

No. 17
Material: ScCr2Re
Method: DFT, GGA-PBE
State: relaxed

Geometry as POSCAR:
```
ScCr2Re
1.0
2.6767 -4.2479 0.0000
2.6767 4.2479 0.0000
-0.8844 0.0000 2.5240
Sc Cr Re
1 2 1
Direct
0.0000 0.0000 0.0000
0.0000 0.5000 0.5000
0.5000 0.0000 0.5000
0.5000 0.5000 0.0000
```

- Excess energy over the best structure of this formula in the dataset: 0.114 eV per atom
- Formation energy from the elements: 0.9 eV/f.u.
- Electronic total energy: -9.290 eV per atom
- Total magnetic moment: 0.00 μB/f.u.
- Volume: 14.35 A^3/atom

No. 18
Material: ScCrRe2
Method: DFT, GGA-PBE
State: relaxed

Geometry as POSCAR:
```
ScCrRe2
1.0
0.0000 3.1076 3.1076
3.1076 0.0000 3.1076
3.1076 3.1076 0.0000
Sc Cr Re
1 1 2
Direct
0.0000 0.0000 0.0000
0.7500 0.7500 0.7500
0.2500 0.2500 0.2500
0.5000 0.5000 0.5000
```

- Excess energy over the best structure of this formula in the dataset: 0.000 eV per atom
- Formation energy from the elements: -0.1 eV/f.u.
- Electronic total energy: -10.233 eV per atom
- Total magnetic moment: 0.01 μB/f.u.
- Volume: 15.01 A^3/atom

No. 19
Material: ScCr2Re
Method: DFT, GGA-PBE
State: relaxed

Geometry as POSCAR:
```
ScCr2Re
1.0
0.0000 3.0545 3.0545
3.0545 0.0000 3.0545
3.0545 3.0545 0.0000
Sc Cr Re
1 2 1
Direct
0.0000 0.0000 0.0000
0.2500 0.2500 0.2500
0.7500 0.7500 0.7500
0.5000 0.5000 0.5000
```

- Excess energy over the best structure of this formula in the dataset: 0.000 eV per atom
- Formation energy from the elements: 0.4 eV/f.u.
- Electronic total energy: -9.404 eV per atom
- Total magnetic moment: 0.00 μB/f.u.
- Volume: 14.25 A^3/atom

No. 20
Material: ScCrRe2
Method: DFT, GGA-PBE
State: relaxed

Geometry as POSCAR:
```
ScCrRe2
1.0
2.7458 0.0000 0.0000
0.0000 4.3729 0.0000
-0.9599 0.0000 5.0385
Sc Cr Re
1 1 2
Direct
0.0000 0.0000 0.0000
0.7354 0.5000 0.2409
0.2699 0.5000 0.7358
0.5153 0.0000 0.4925
```

- Excess energy over the best structure of this formula in the dataset: 0.088 eV per atom
- Formation energy from the elements: 0.3 eV/f.u.
- Electronic total energy: -10.146 eV per atom
- Total magnetic moment: 0.00 μB/f.u.
- Volume: 15.12 A^3/atom

No. 21
Material: ScCrRe2
Method: DFT, GGA-PBE
State: relaxed

Geometry as POSCAR:
```
ScCrRe2
1.0
1.4110 0.8146 8.9177
-1.4110 0.8146 8.9177
0.0000 -1.6293 8.9177
Sc Cr Re
1 1 2
Direct
0.0000 0.0000 0.0000
0.5000 0.5000 0.5000
0.2426 0.2426 0.2426
0.7574 0.7574 0.7574
```

- Excess energy over the best structure of this formula in the dataset: 0.248 eV per atom
- Formation energy from the elements: 0.9 eV/f.u.
- Electronic total energy: -9.985 eV per atom
- Total magnetic moment: 0.00 μB/f.u.
- Volume: 15.38 A^3/atom

No. 22
Material: ScCrRe2
Method: DFT, GGA-PBE
State: relaxed

Geometry as POSCAR:
```
ScCrRe2
1.0
-3.5732 3.5732 2.6231
3.5732 -3.5732 2.6231
3.5732 3.5732 -2.6231
Sc Cr Re
2 2 4
Direct
0.0000 0.0000 0.0000
0.7500 0.2500 0.5000
0.2500 0.7500 0.5000
0.5000 0.5000 0.0000
0.1741 0.6250 0.0491
0.3750 0.4241 0.5491
0.5759 0.1250 0.9509
0.8750 0.8259 0.4509
```

- Excess energy over the best structure of this formula in the dataset: 0.568 eV per atom
- Formation energy from the elements: 2.2 eV/f.u.
- Electronic total energy: -9.665 eV per atom
- Total magnetic moment: 0.01 μB/f.u.
- Volume: 16.75 A^3/atom

No. 23
Material: ScCr2ReSe
Method: DFT, GGA-PBE
State: relaxed

Geometry as POSCAR:
```
ScCr2ReSe
1.0
4.4199 0.0000 0.0000
0.0000 4.4199 0.0000
0.0000 0.0000 4.6525
Sc Cr Re Se
1 2 1 1
Direct
0.0000 0.0000 0.0000
0.0000 0.5000 0.5000
0.5000 0.0000 0.5000
0.5000 0.5000 0.0000
0.5000 0.5000 0.5000
```

- ΔE_f (raw): 3.60 eV/f.u.
- Electronic total energy: -7.583 eV per atom
- Total magnetic moment: 3.59 μB/f.u.
- Volume: 18.18 A^3/atom

No. 24
Material: ScCrReSe2
Method: DFT, GGA-PBE
State: relaxed

Geometry as POSCAR:
```
ScCrReSe2
1.0
4.8041 0.0000 0.0000
0.0000 4.8041 0.0000
0.0000 0.0000 5.0478
Sc Cr Re Se
1 1 1 2
Direct
0.0000 0.0000 0.0000
0.5000 0.5000 0.0000
0.0000 0.0000 0.5000
0.0000 0.5000 0.5000
0.5000 0.0000 0.5000
```

- ΔE_f (raw): 5.76 eV/f.u.
- Electronic total energy: -5.922 eV per atom
- Total magnetic moment: 0.34 μB/f.u.
- Volume: 23.30 A^3/atom

No. 25
Material: ScTaCrRe
Method: DFT, GGA-PBE
State: relaxed

Geometry as POSCAR:
```
ScTaCrRe
1.0
0.0000 3.2162 3.2162
3.2162 0.0000 3.2162
3.2162 3.2162 0.0000
Sc Ta Cr Re
1 1 1 1
Direct
0.0000 0.0000 0.0000
0.5000 0.5000 0.5000
0.7500 0.7500 0.7500
0.2500 0.2500 0.2500
```

- Formation energy from the elements: -0.1 eV/f.u.
- Electronic total energy: -10.094 eV per atom
- Total magnetic moment: 2.65 μB/f.u.
- Volume: 16.63 A^3/atom

No. 26
Material: ScCr2ReTc
Method: DFT, GGA-PBE
State: relaxed

Geometry as POSCAR:
```
ScCr2ReTc
1.0
4.2925 0.0000 0.0000
0.0000 4.2925 0.0000
0.0000 0.0000 4.5016
Sc Cr Re Tc
1 2 1 1
Direct
0.0000 0.0000 0.0000
0.0000 0.5000 0.0000
0.5000 0.0000 0.0000
0.5000 0.5000 0.5000
0.0000 0.0000 0.5000
```

- Formation energy from the elements: 10.0 eV/f.u.
- Electronic total energy: -7.678 eV per atom
- Total magnetic moment: 2.43 μB/f.u.
- Volume: 16.59 A^3/atom

No. 27
Material: ScZn2CrRe
Method: DFT, GGA-PBE
State: relaxed

Geometry as POSCAR:
```
ScZn2CrRe
1.0
4.8282 0.0000 0.0000
0.0000 4.8282 0.0000
0.0000 0.0000 4.4788
Sc Zn Cr Re
1 2 1 1
Direct
0.0000 0.0000 0.0000
0.0000 0.5000 0.5000
0.5000 0.0000 0.5000
0.5000 0.5000 0.0000
0.5000 0.5000 0.5000
```

- Formation energy from the elements: 3.5 eV/f.u.
- Electronic total energy: -5.485 eV per atom
- Total magnetic moment: 2.21 μB/f.u.
- Volume: 20.88 A^3/atom

No. 28
Material: ZrScCrRe
Method: DFT, GGA-PBE
State: relaxed

Geometry as POSCAR:
```
ZrScCrRe
1.0
0.0000 3.3012 3.3012
3.3012 0.0000 3.3012
3.3012 3.3012 0.0000
Zr Sc Cr Re
1 1 1 1
Direct
0.0000 0.0000 0.0000
0.5000 0.5000 0.5000
0.2500 0.2500 0.2500
0.7500 0.7500 0.7500
```

- Formation energy from the elements: 0.1 eV/f.u.
- Electronic total energy: -9.225 eV per atom
- Total magnetic moment: 3.30 μB/f.u.
- Volume: 17.99 A^3/atom

No. 29
Material: CrReSe2
Method: DFT, GGA-PBE
State: relaxed

Geometry as POSCAR:
```
CrReSe2
1.0
3.1344 0.0000 0.0000
0.0000 3.9675 0.0000
0.0000 0.0000 5.7111
Cr Re Se
1 1 2
Direct
0.0000 0.0000 0.0000
0.5000 0.0000 0.5000
0.0000 0.5000 0.5000
0.5000 0.5000 0.0000
```

- Excess energy over the best structure of this formula in the dataset: 0.790 eV per atom
- ΔE_f (raw): 2.79 eV/f.u.
- Electronic total energy: -6.562 eV per atom
- Total magnetic moment: 2.48 μB/f.u.
- Volume: 17.76 A^3/atom

No. 30
Material: CrReSe2
Method: DFT, GGA-PBE
State: relaxed

Geometry as POSCAR:
```
CrReSe2
1.0
3.0495 0.0000 0.0000
0.0000 3.6886 0.0000
0.0000 0.0000 7.0538
Cr Re Se
1 1 2
Direct
0.0000 0.0000 0.0000
0.5000 0.5000 0.1622
0.0000 0.0000 0.3422
0.5000 0.5000 0.8195
```

- Excess energy over the best structure of this formula in the dataset: 0.249 eV per atom
- ΔE_f (raw): 0.63 eV/f.u.
- Electronic total energy: -7.103 eV per atom
- Total magnetic moment: 1.30 μB/f.u.
- Volume: 19.84 A^3/atom